Entry 1:
DFT (GGA-PBE) results for Th2PtI2 after structural relaxation.

The magnetization is 0.000 Bohr magnetons per cell. The calculation puts the uncorrected formation energy at -1.16 eV per atom. The calculated volume is 384.73 Å³/cell.

The space group is C2/m (No. 12) and the conventional cell measures 7.3788, 4.2686 and 12.5129 Å, with angles of 90.00, 102.53 and 90.00 degrees. Symmetry generates all atoms from Th at (0.2143, 0.0000, 0.1289), Pt at (0.0000, 0.5000, 0.0000) and I at (0.0510, 0.0000, 0.6856).



Entry 2:
DFT (GGA-PBE) results for Th2Be3SiPt4 after structural relaxation.

The magnetization is 0.000 Bohr magnetons per cell. The calculation puts the uncorrected formation energy at -0.95 eV per atom. The calculated volume is 167.01 Å³/cell.

The space group is P-4m2 (No. 115) and the conventional cell measures 4.1305, 4.1305 and 9.7888 Å, with angles of 90.00, 90.00 and 90.00 degrees. Symmetry generates all atoms from Th at (0.0000, 0.5000, 0.2480), Be at (0.0000, 0.0000, 0.0000), Be at (0.0000, 0.5000, 0.6222), Si at (0.5000, 0.5000, 0.0000), Pt at (0.0000, 0.0000, 0.5000), Pt at (0.0000, 0.5000, 0.8672) and Pt at (0.5000, 0.5000, 0.5000).



Entry 3:
DFT (GGA-PBE) results for NbTcNiAs2 after structural relaxation.

The magnetization is 0.000 Bohr magnetons per cell. The calculated volume is 90.35 Å³/cell. For the formation energy from the elements, the calculation gives 0.941 eV per atom.

The space group is P4/mmm (No. 123) and the conventional cell measures 4.3755, 4.3755 and 4.7191 Å, with angles of 90.00, 90.00 and 90.00 degrees. Symmetry generates all atoms from Nb at (0.0000, 0.0000, 0.0000), Tc at (0.5000, 0.5000, 0.0000), Ni at (0.0000, 0.0000, 0.5000) and As at (0.0000, 0.5000, 0.5000).



Entry 4:
DFT (GGA-PBE) results for La10Tb4Sc after structural relaxation.

The magnetization is 0.000 Bohr magnetons per cell. The calculated volume is 1087.00 Å³/cell. For the formation energy from the elements, the calculation gives 0.337 eV per atom.

The space group is I4/m (No. 87) and the conventional cell measures 10.0340, 10.0340 and 10.7964 Å, with angles of 90.00, 90.00 and 90.00 degrees. Symmetry generates all atoms from La at (0.0000, 0.5000, 0.2500), La at (0.1164, 0.2349, 0.1633), Tb at (0.0549, 0.2676, 0.5000) and Sc at (0.0000, 0.0000, 0.0000).



Entry 5:
DFT (GGA-PBE) results for Y2TaRhN after structural relaxation.

The magnetization is 1.362 Bohr magnetons per cell. The calculation puts the uncorrected formation energy at 0.60 eV per atom. The calculated volume is 115.52 Å³/cell.

The space group is P4/mmm (No. 123) and the conventional cell measures 5.6137, 5.6137 and 3.6656 Å, with angles of 90.00, 90.00 and 90.00 degrees. Symmetry generates all atoms from Y at (0.0000, 0.5000, 0.0000), Ta at (0.0000, 0.0000, 0.5000), Rh at (0.5000, 0.5000, 0.0000) and N at (0.5000, 0.5000, 0.5000).



Entry 6:
DFT (GGA-PBE) results for CaTaTcIr2 after structural relaxation.

The magnetization is 1.030 Bohr magnetons per cell. The calculated volume is 111.12 Å³/cell. For the formation energy from the elements, the calculation gives 0.870 eV per atom.

The space group is P4/mmm (No. 123) and the conventional cell measures 4.8542, 4.8542 and 4.7159 Å, with angles of 90.00, 90.00 and 90.00 degrees. Symmetry generates all atoms from Ca at (0.0000, 0.0000, 0.0000), Ta at (0.5000, 0.5000, 0.0000), Tc at (0.5000, 0.5000, 0.5000) and Ir at (0.0000, 0.5000, 0.5000).



Entry 7:
DFT (GGA-PBE) results for YSc2BeN after structural relaxation.

The magnetization is 0.000 Bohr magnetons per cell. The calculation puts the uncorrected formation energy at -0.69 eV per atom. The calculated volume is 90.98 Å³/cell.

The space group is P4/mmm (No. 123) and the conventional cell measures 4.3839, 4.3839 and 4.7341 Å, with angles of 90.00, 90.00 and 90.00 degrees. Symmetry generates all atoms from Y at (0.0000, 0.0000, 0.0000), Sc at (0.0000, 0.5000, 0.5000), Be at (0.5000, 0.5000, 0.0000) and N at (0.0000, 0.0000, 0.5000).



Entry 8:
DFT (GGA-PBE) results for IrW2Br after structural relaxation.

The magnetization is 0.000 Bohr magnetons per cell. The calculation puts the energy above the most stable polymorph in this dataset at 0.0191 eV/atom. The calculation puts the uncorrected formation energy at 0.51 eV per atom. The calculated volume is 69.81 Å³/cell.

The space group is P4mm (No. 99) and the conventional cell measures 2.9131, 2.9131 and 8.2257 Å, with angles of 90.00, 90.00 and 90.00 degrees. Symmetry generates all atoms from Ir at (0.0000, 0.0000, 0.0000), W at (0.0000, 0.0000, 0.4554), W at (0.5000, 0.5000, 0.2018) and Br at (0.5000, 0.5000, 0.6718).



Entry 9:
DFT (GGA-PBE) results for LiPtIN2 after structural relaxation.

The magnetization is 0.000 Bohr magnetons per cell. The calculation puts the energy above the most stable polymorph in this dataset at 0.0000 eV/atom. The calculation puts the uncorrected formation energy at 0.60 eV per atom. The calculated volume is 129.56 Å³/cell.

The space group is P4/mmm (No. 123) and the conventional cell measures 3.7915, 3.7915 and 9.0128 Å, with angles of 90.00, 90.00 and 90.00 degrees. Symmetry generates all atoms from Li at (0.0000, 0.0000, 0.0000), Pt at (0.5000, 0.5000, 0.5000), I at (0.5000, 0.5000, 0.0000) and N at (0.0000, 0.5000, 0.5000).



Entry 10:
DFT (GGA-PBE) results for Np2GaPb after structural relaxation.

The magnetization is 8.958 Bohr magnetons per cell. The calculated volume is 95.95 Å³/cell. For the formation energy from the elements, the calculation gives 0.162 eV per atom.

The space group is P4/mmm (No. 123) and the conventional cell measures 4.4991, 4.4991 and 4.7403 Å, with angles of 90.00, 90.00 and 90.00 degrees. Symmetry generates all atoms from Np at (0.0000, 0.5000, 0.0000), Ga at (0.0000, 0.0000, 0.5000) and Pb at (0.5000, 0.5000, 0.5000).



Entry 11:
DFT (GGA-PBE) results for Ca2SnPd after structural relaxation.

The magnetization is 0.000 Bohr magnetons per cell. The calculated volume is 436.06 Å³/cell. For the formation energy from the elements, the calculation gives -0.353 eV per atom.

The space group is I-42d (No. 122) and the conventional cell measures 8.2648, 8.2648 and 6.3838 Å, with angles of 90.00, 90.00 and 90.00 degrees. Symmetry generates all atoms from Ca at (0.2055, 0.2500, 0.1250), Sn at (0.0000, 0.0000, 0.5000) and Pd at (0.0000, 0.0000, 0.0000).



Entry 12:
DFT (GGA-PBE) results for KSnOsPt2 after structural relaxation.

The magnetization is 1.062 Bohr magnetons per cell. The calculated volume is 116.96 Å³/cell. For the formation energy from the elements, the calculation gives 2.416 eV per atom.

The space group is P4/mmm (No. 123) and the conventional cell measures 4.9443, 4.9443 and 4.7845 Å, with angles of 90.00, 90.00 and 90.00 degrees. Symmetry generates all atoms from K at (0.0000, 0.0000, 0.0000), Sn at (0.5000, 0.5000, 0.5000), Os at (0.0000, 0.0000, 0.5000) and Pt at (0.0000, 0.5000, 0.0000).



Entry 13:
DFT (GGA-PBE) results for Cs2MgH8C2O10 after structural relaxation.

The magnetization is 0.000 Bohr magnetons per cell. The calculated volume is 1116.13 Å³/cell. The total energy is -5.741 eV/atom.

The space group is Pbca (No. 61) and the conventional cell measures 6.6430, 12.7148 and 13.2143 Å, with angles of 90.00, 90.00 and 90.00 degrees. Symmetry generates all atoms from Cs at (0.1401, 0.2327, 0.1270), Mg at (0.0000, 0.0000, 0.5000), H at (0.1287, 0.0151, 0.7098), H at (0.1535, 0.1822, 0.3992), H at (0.1712, 0.5194, 0.6441), H at (0.2206, 0.5685, 0.3924), C at (0.1602, 0.1147, 0.8780), O at (0.0845, 0.2033, 0.8494), O at (0.0861, 0.0259, 0.8414), O at (0.1797, 0.0078, 0.6391), O at (0.1876, 0.1144, 0.4350) and O at (0.1923, 0.6117, 0.9421).



Entry 14:
DFT (GGA-PBE) results for Pm2CoPd after structural relaxation.

The magnetization is 0.327 Bohr magnetons per cell. The calculated volume is 87.12 Å³/cell. For the formation energy from the elements, the calculation gives -0.389 eV per atom.

The space group is P4/mmm (No. 123) and the conventional cell measures 3.4995, 3.4995 and 7.1139 Å, with angles of 90.00, 90.00 and 90.00 degrees. Symmetry generates all atoms from Pm at (0.0000, 0.0000, 0.2381), Co at (0.5000, 0.5000, 0.0000) and Pd at (0.5000, 0.5000, 0.5000).



Entry 15:
DFT (GGA-PBE) results for Y2VSi after structural relaxation.

The magnetization is 12.539 Bohr magnetons per cell. The calculation puts the energy above the most stable polymorph in this dataset at 0.4530 eV/atom. The calculation puts the uncorrected formation energy at 0.40 eV per atom. The calculated volume is 393.26 Å³/cell.

The space group is I-42d (No. 122) and the conventional cell measures 7.8703, 7.8703 and 6.3488 Å, with angles of 90.00, 90.00 and 90.00 degrees. Symmetry generates all atoms from Y at (0.2328, 0.2500, 0.1250), V at (0.0000, 0.0000, 0.5000) and Si at (0.0000, 0.0000, 0.0000).



Entry 16:
DFT (GGA-PBE) results for Tb6Sm3Er2 after structural relaxation.

The magnetization is 0.000 Bohr magnetons per cell. The calculated volume is 749.52 Å³/cell. For the formation energy from the elements, the calculation gives 0.280 eV per atom.

The space group is I4/mmm (No. 139) and the conventional cell measures 4.7482, 4.7482 and 33.2446 Å, with angles of 90.00, 90.00 and 90.00 degrees. Symmetry generates all atoms from Tb at (0.0000, 0.0000, 0.1953), Tb at (0.0000, 0.5000, 0.1203), Sm at (0.0000, 0.0000, 0.2989), Sm at (0.0000, 0.0000, 0.5000) and Er at (0.0000, 0.0000, 0.0459).



Entry 17:
DFT (GGA-PBE) results for CrSeBrN2 after structural relaxation.

The magnetization is 4.515 Bohr magnetons per cell. The calculation puts the energy above the most stable polymorph in this dataset at 1.2897 eV/atom. The calculation puts the uncorrected formation energy at 1.95 eV per atom. The calculated volume is 103.72 Å³/cell.

The space group is P4/mmm (No. 123) and the conventional cell measures 3.7726, 3.7726 and 7.2876 Å, with angles of 90.00, 90.00 and 90.00 degrees. Symmetry generates all atoms from Cr at (0.0000, 0.0000, 0.0000), Se at (0.5000, 0.5000, 0.0000), Br at (0.5000, 0.5000, 0.5000) and N at (0.0000, 0.5000, 0.5000).



Entry 18:
DFT (GGA-PBE) results for InSb2Pb after structural relaxation.

The magnetization is 0.000 Bohr magnetons per cell. The calculation puts the energy above the most stable polymorph in this dataset at 0.0464 eV/atom. The calculation puts the uncorrected formation energy at 0.10 eV per atom. The calculated volume is 115.10 Å³/cell.

The space group is Pmmm (No. 47) and the conventional cell measures 4.1457, 5.1123 and 5.4307 Å, with angles of 90.00, 90.00 and 90.00 degrees. Symmetry generates all atoms from In at (0.0000, 0.0000, 0.0000), Sb at (0.0000, 0.5000, 0.5000), Sb at (0.5000, 0.0000, 0.5000) and Pb at (0.5000, 0.5000, 0.0000).



Entry 19:
DFT (GGA-PBE) results for Ti2Be9Tc after structural relaxation.

The magnetization is 3.242 Bohr magnetons per cell. The calculation puts the energy above the most stable polymorph in this dataset at 0.0000 eV/atom. The calculated volume is 351.00 Å³/cell. For the formation energy from the elements, the calculation gives -0.241 eV per atom.

The space group is R-3m (No. 166, hexagonal axes) and the conventional cell measures 4.3996, 4.3996 and 20.9388 Å, with angles of 90.00, 90.00 and 120.00 degrees. Symmetry generates all atoms from Ti at (0.0000, 0.0000, 0.1413), Be at (0.0000, 0.0000, 0.3338), Be at (0.0000, 0.0000, 0.5000), Be at (0.0028, 0.5014, 0.9202) and Tc at (0.0000, 0.0000, 0.0000).



Entry 20:
DFT (GGA-PBE) results for MgZr2Np after structural relaxation.

The magnetization is 2.996 Bohr magnetons per cell. The calculation puts the energy above the most stable polymorph in this dataset at 0.0000 eV/atom. The calculated volume is 89.87 Å³/cell. For the formation energy from the elements, the calculation gives 0.210 eV per atom.

The space group is P4/mmm (No. 123) and the conventional cell measures 2.9997, 2.9997 and 9.9880 Å, with angles of 90.00, 90.00 and 90.00 degrees. Symmetry generates all atoms from Mg at (0.0000, 0.0000, 0.0000), Zr at (0.5000, 0.5000, 0.2509) and Np at (0.0000, 0.0000, 0.5000).



Entry 21:
DFT (GGA-PBE) results for FeTeP2 after structural relaxation.

The magnetization is 4.360 Bohr magnetons per cell. The calculation puts the uncorrected formation energy at 0.40 eV per atom. The calculated volume is 141.96 Å³/cell.

The space group is I4/mmm (No. 139) and the conventional cell measures 5.2500, 5.2500 and 5.1507 Å, with angles of 90.00, 90.00 and 90.00 degrees. Symmetry generates all atoms from Fe at (0.0000, 0.0000, 0.0000), Te at (0.0000, 0.0000, 0.5000) and P at (0.0000, 0.5000, 0.0000).



Entry 22:
DFT (GGA-PBE) results for ZrAlCu after structural relaxation.

The magnetization is 0.001 Bohr magnetons per cell. The calculated volume is 200.17 Å³/cell. For the formation energy from the elements, the calculation gives -0.382 eV per atom.

The space group is Pbcm (No. 57) and the conventional cell measures 5.5479, 7.1752 and 5.0284 Å, with angles of 90.00, 90.00 and 90.00 degrees. Symmetry generates all atoms from Zr at (0.1093, 0.1041, 0.2500), Al at (0.3823, 0.0508, 0.7500) and Cu at (0.3240, 0.7500, 0.0000).